(1)
This record from Alexandria describes a geometry-optimized Li3CuN structure. The functional is PBE.

abc: 3.9062 3.9062 3.9062
angles: 90.00 90.00 90.00
Element x y z (fractional)
Li: 0.5000 0.0000 0.0000
N: 0.0000 0.0000 0.0000
Li: 0.0000 0.5000 0.0000
Cu: 0.5000 0.5000 0.5000
Li: 0.0000 0.0000 0.5000

Summary:
**Spin magnetization**: 0.000 μB per cell
**Energy relative to the elements, uncorrected**: -13 meV/atom
**DOS at the Fermi energy**: 0.570 states/eV/atom


(2)
This record from Alexandria describes a geometry-optimized CsIn3Ga3 structure. The functional is PBE.

abc: 10.1722 10.1722 4.5229
angles: 90.00 90.00 120.00
Element x y z (fractional)
Ga: 0.0372 0.5988 0.2500
Ga: 0.5988 0.5616 0.7500
In: 0.2069 0.9473 0.2500
Ga: 0.4012 0.4384 0.2500
In: 0.9473 0.7404 0.7500
Ga: 0.4384 0.0372 0.7500
In: 0.7931 0.0527 0.7500
Ga: 0.9628 0.4012 0.7500
Ga: 0.5616 0.9628 0.2500
In: 0.2596 0.2069 0.7500
In: 0.0527 0.2596 0.2500
Cs: 0.3333 0.6667 0.7500
Cs: 0.6667 0.3333 0.2500
In: 0.7404 0.7931 0.2500

Summary:
**Spin magnetization**: 0.000 μB per cell
**E_form**: 0.125 eV per atom
**DOS at the Fermi energy**: 0.386 states/eV/atom